Record 1
This record from the Alexandria database describes crystalline V2Ru4Au at its relaxed geometry. The functional is PBE.

It has space group I4/mmm (No. 139), with a = 4.8178 Å, b = 4.8178 Å, c = 11.9791 Å, α = 90.00°, β = 90.00° and γ = 90.00°. The distinct sites, in fractional coordinates, are V at (0.0000, 0.0000, 0.1094), Ru at (0.0000, 0.0000, 0.2786), Ru at (0.0000, 0.5000, 0.0000) and Au at (0.0000, 0.0000, 0.5000).

The calculation puts the formation enthalpy at 0 K at 1463 meV/atom. The electronic total energy comes out at -6.911 eV/atom. The calculation puts the volume at 19.86 Å³ per atom.

---

Record 2
This record from the Alexandria database describes crystalline CsCd3Se at its relaxed geometry. The functional is PBE.

It has space group Pm-3m (No. 221), with a = 5.8523 Å, b = 5.8523 Å, c = 5.8523 Å, α = 90.00°, β = 90.00° and γ = 90.00°. The distinct sites, in fractional coordinates, are Cs at (0.0000, 0.0000, 0.0000), Cd at (0.0000, 0.5000, 0.5000) and Se at (0.5000, 0.5000, 0.5000).

For the energy relative to the elements, uncorrected, the calculation gives 76 meV per atom. The value obtained for the energy relative to the lowest polymorph listed for this composition is 0.0 meV/atom. The electronic total energy comes out at -1.341 eV/atom. The calculation puts the volume at 40.09 Å³ per atom.